No. 1
Computed, not measured: ScCuSi after structural relaxation at the GGA-PBE level of DFT.

```
ScCuSi
1.0
5.100 0.000 -0.003
-0.001 5.238 0.000
-1.431 0.000 3.548
Sc Si Cu
2 2 2
Direct
0.456 0.810 0.271
0.260 0.310 0.673
0.858 0.060 0.972
0.858 0.560 0.972
0.040 0.810 0.563
0.676 0.310 0.380
```

Properties
The value obtained for the uncorrected formation energy is -0.45 eV/atom. The calculation puts the size of the total moment at 0.000 Bohr magnetons per cell.



No. 2
Computed, not measured: ScCu12Si4 after structural relaxation at the GGA-PBE level of DFT.

```
ScCu12Si4
1.0
-1.528 6.283 -2.634
-1.214 -4.903 -4.821
-3.988 -1.207 5.603
Sc Cu Si
1 12 4
Direct
0.000 0.000 0.000
0.846 0.349 0.195
0.349 0.504 0.154
0.805 0.154 0.651
0.349 0.195 0.846
0.195 0.846 0.349
0.651 0.496 0.846
0.504 0.154 0.349
0.496 0.846 0.651
0.651 0.805 0.154
0.846 0.651 0.496
0.154 0.349 0.504
0.154 0.651 0.805
0.000 0.500 0.000
0.500 0.000 0.000
0.500 0.500 0.500
0.000 0.000 0.500
```

Properties
The value obtained for the uncorrected formation energy is 0.31 eV/atom. The calculation puts the size of the total moment at 0.000 Bohr magnetons per cell.



No. 3
Computed, not measured: ScCuSi after structural relaxation at the GGA-PBE level of DFT.

```
ScCuSi
1.0
-4.214 -0.582 -3.446
-0.485 -3.716 -0.945
-2.442 -0.782 4.326
Sc Si Cu
2 2 2
Direct
0.864 0.413 0.419
0.326 0.182 0.047
0.938 0.876 0.920
0.521 0.085 0.571
0.256 0.717 0.571
0.676 0.507 0.896
```

Properties
The value obtained for the uncorrected formation energy is -0.41 eV/atom. The calculation puts the size of the total moment at 0.000 Bohr magnetons per cell.



No. 4
Computed, not measured: ScCuSi2 after structural relaxation at the GGA-PBE level of DFT.

```
ScCuSi2
1.0
-3.924 0.302 0.825
0.240 -2.221 1.955
1.056 3.431 3.768
Cu Sc Si
1 1 2
Direct
0.500 0.250 0.250
0.500 0.750 0.750
0.000 0.250 0.999
0.000 0.250 0.501
```

Properties
The value obtained for the uncorrected formation energy is -0.36 eV/atom. The calculation puts the size of the total moment at 0.000 Bohr magnetons per cell.



No. 5
Computed, not measured: ScCuSi after structural relaxation at the GGA-PBE level of DFT.

```
ScCuSi
1.0
-2.582 -1.039 2.868
-2.078 -5.010 -3.685
5.013 -4.263 2.968
Sc Si Cu
4 4 4
Direct
0.750 0.493 0.197
0.250 0.007 0.697
0.750 0.993 0.303
0.250 0.507 0.803
0.250 0.773 0.106
0.250 0.273 0.394
0.750 0.227 0.894
0.750 0.727 0.606
0.250 0.662 0.432
0.250 0.162 0.068
0.750 0.838 0.932
0.750 0.338 0.568
```

Properties
The value obtained for the uncorrected formation energy is -0.66 eV/atom. The calculation puts the size of the total moment at 0.000 Bohr magnetons per cell.



No. 6
Computed, not measured: ScCuSi2 after structural relaxation at the GGA-PBE level of DFT.

```
ScCuSi2
1.0
-1.972 -2.373 -2.996
0.654 -3.531 2.367
-7.623 -1.788 3.347
Sc Si Cu
2 4 2
Direct
0.500 0.500 0.000
0.250 0.750 0.500
0.727 0.125 0.250
0.023 0.625 0.250
0.375 0.273 0.750
0.875 0.977 0.750
0.000 0.000 0.000
0.750 0.250 0.500
```

Properties
The value obtained for the uncorrected formation energy is -0.10 eV/atom. The calculation puts the size of the total moment at 0.000 Bohr magnetons per cell.



No. 7
Computed, not measured: ScCuSi2 after structural relaxation at the GGA-PBE level of DFT.

```
ScCuSi2
1.0
-0.045 -0.866 -5.089
0.168 -4.044 -3.204
-3.456 -0.952 -1.215
Cu Sc Si
1 1 2
Direct
0.519 0.519 0.481
0.269 0.269 0.231
0.007 0.007 0.993
0.704 0.704 0.796
```

Properties
The value obtained for the uncorrected formation energy is -0.30 eV/atom. The calculation puts the size of the total moment at 0.000 Bohr magnetons per cell.



No. 8
Computed, not measured: ScCuSi after structural relaxation at the GGA-PBE level of DFT.

```
ScCuSi
1.0
5.458 0.000 0.000
0.000 4.284 0.000
0.000 0.000 8.356
Sc Si Cu
4 4 4
Direct
0.811 0.250 0.412
0.689 0.750 0.912
0.189 0.750 0.588
0.311 0.250 0.088
0.313 0.250 0.408
0.187 0.750 0.908
0.687 0.750 0.592
0.813 0.250 0.092
0.008 0.250 0.806
0.492 0.750 0.306
0.992 0.750 0.194
0.508 0.250 0.694
```

Properties
The value obtained for the uncorrected formation energy is -0.38 eV/atom. The calculation puts the size of the total moment at 0.000 Bohr magnetons per cell.



No. 9
Computed, not measured: Sc2Cu12Si7 after structural relaxation at the GGA-PBE level of DFT.

```
Sc2Cu12Si7
1.0
-0.579 -2.358 -1.789
3.377 -6.483 7.450
-10.063 2.746 -0.359
Sc Cu Si
2 12 7
Direct
0.252 0.333 0.667
0.748 0.667 0.333
0.247 0.618 0.071
0.247 0.453 0.382
0.247 0.929 0.547
0.753 0.382 0.929
0.753 0.547 0.618
0.753 0.071 0.453
0.250 0.079 0.247
0.250 0.168 0.921
0.250 0.753 0.832
0.750 0.921 0.753
0.750 0.832 0.079
0.750 0.247 0.168
0.500 0.000 0.000
0.249 0.866 0.287
0.249 0.421 0.134
0.249 0.713 0.579
0.751 0.134 0.713
0.751 0.579 0.866
0.751 0.287 0.421
```

Properties
The value obtained for the uncorrected formation energy is -0.15 eV/atom. The calculation puts the size of the total moment at 0.000 Bohr magnetons per cell.



No. 10
Computed, not measured: Sc2Cu2Si3 after structural relaxation at the GGA-PBE level of DFT.

```
Sc2Cu2Si3
1.0
0.694 0.080 -3.907
1.285 -6.346 0.098
-8.527 -1.719 0.467
Sc Cu Si
4 4 6
Direct
0.155 0.250 0.309
0.845 0.750 0.691
0.950 0.250 0.899
0.050 0.750 0.101
0.692 0.944 0.384
0.308 0.056 0.616
0.308 0.444 0.616
0.692 0.556 0.384
0.223 0.750 0.446
0.777 0.250 0.554
0.563 0.432 0.126
0.437 0.568 0.874
0.437 0.932 0.874
0.563 0.068 0.126
```

Properties
The value obtained for the uncorrected formation energy is -0.61 eV/atom. The calculation puts the size of the total moment at 0.000 Bohr magnetons per cell.



No. 11
Computed, not measured: ScCu2Si2 after structural relaxation at the GGA-PBE level of DFT.

```
ScCu2Si2
1.0
-1.638 -3.115 1.501
2.889 -2.145 -1.300
1.881 3.391 4.215
Sc Si Cu
1 2 2
Direct
0.000 0.000 0.000
0.613 0.613 0.226
0.387 0.387 0.774
0.750 0.250 0.500
0.250 0.750 0.500
```

Properties
The value obtained for the uncorrected formation energy is -0.50 eV/atom. The calculation puts the size of the total moment at 0.000 Bohr magnetons per cell.



No. 12
Computed, not measured: Sc3Cu2Si4 after structural relaxation at the GGA-PBE level of DFT.

```
Sc3Cu2Si4
1.0
-3.895 -0.700 -0.545
1.836 -2.291 4.459
-1.560 7.368 1.688
Sc Cu Si
3 2 4
Direct
0.633 0.266 0.690
0.000 0.000 0.000
0.367 0.734 0.310
0.673 0.345 0.342
0.327 0.655 0.658
0.717 0.433 0.063
0.283 0.567 0.937
0.921 0.842 0.593
0.079 0.158 0.407
```

Properties
The value obtained for the uncorrected formation energy is -0.64 eV/atom. The calculation puts the size of the total moment at 0.000 Bohr magnetons per cell.